1.
Here is an optimized crystal structure of Tl2InHgCl6 from the Alexandria database. Energies are from PBE-GGA.

Results
Total magnetic moment, Bohr magnetons per cell: 0.00
Formation energy from raw total energies, eV/atom: -0.90
Total energy, eV per atom: -2.781

Cell: 7.639 7.639 7.639 Å, 59.29 59.29 59.29°
Atoms (fractional coordinates):
1 Tl 0.000 0.000 0.000
2 Tl 0.498 0.498 0.498
3 In 0.719 0.719 0.719
4 Hg 0.222 0.222 0.222
5 Cl 0.016 0.474 0.891
6 Cl 0.415 0.942 0.548
7 Cl 0.474 0.891 0.016
8 Cl 0.548 0.415 0.942
9 Cl 0.891 0.016 0.474
10 Cl 0.942 0.548 0.415

2.
Here is an optimized crystal structure of CaSi2Pb from the Alexandria database. Energies are from PBE-GGA.

Results
Total magnetic moment, Bohr magnetons per cell: 0.00
Formation energy from raw total energies, eV/atom: 0.14
Total energy, eV per atom: -4.000

Cell: 5.183 5.183 3.569 Å, 90.00 90.00 104.57°
Atoms (fractional coordinates):
1 Ca 0.000 0.000 0.000
2 Si 0.000 0.500 0.500
3 Si 0.500 0.000 0.500
4 Pb 0.500 0.500 0.000

3.
Here is an optimized crystal structure of SrAlIn2Au4 from the Alexandria database. Energies are from PBE-GGA.

Results
Total magnetic moment, Bohr magnetons per cell: 0.00
Formation energy from the elements, meV/atom: -416
Total energy, eV per atom: -3.417

Cell: 9.870 9.870 9.870 Å, 27.43 27.43 27.43°
Atoms (fractional coordinates):
1 Sr 0.000 0.000 0.000
2 Al 0.500 0.500 0.500
3 In 0.248 0.248 0.248
4 In 0.752 0.752 0.752
5 Au 0.144 0.144 0.144
6 Au 0.403 0.403 0.403
7 Au 0.597 0.597 0.597
8 Au 0.856 0.856 0.856

4.
Here is an optimized crystal structure of PmCdF6 from the Alexandria database. Energies are from PBE-GGA.

Results
Total magnetic moment, Bohr magnetons per cell: 1.06
Formation energy from raw total energies, eV/atom: -2.75
Total energy, eV per atom: -4.861
ΔE to the lowest computed polymorph, kJ/mol of atoms: 2.8

Cell: 6.198 6.198 6.198 Å, 55.34 55.34 55.34°
Atoms (fractional coordinates):
1 Pm 0.000 0.000 0.000
2 Cd 0.500 0.500 0.500
3 F 0.139 0.742 0.372
4 F 0.258 0.628 0.861
5 F 0.372 0.139 0.742
6 F 0.628 0.861 0.258
7 F 0.742 0.372 0.139
8 F 0.861 0.258 0.628

5.
Here is an optimized crystal structure of ScRe4Se from the Alexandria database. Energies are from PBE-GGA.

Results
Total magnetic moment, Bohr magnetons per cell: 0.00
Formation energy from raw total energies, eV/atom: 0.35
Total energy, eV per atom: -9.583

Cell: 5.270 5.270 5.270 Å, 60.00 60.00 60.00°
Atoms (fractional coordinates):
1 Sc 0.000 0.000 0.000
2 Re 0.376 0.376 0.376
3 Re 0.376 0.376 0.873
4 Re 0.376 0.873 0.376
5 Re 0.873 0.376 0.376
6 Se 0.750 0.750 0.750

6.
Here is an optimized crystal structure of La3BBr from the Alexandria database. Energies are from PBE-GGA.

Results
Total magnetic moment, Bohr magnetons per cell: 0.00
Formation energy from raw total energies, eV/atom: -0.17
Total energy, eV per atom: -4.800
ΔE to the lowest computed polymorph, kJ/mol of atoms: 0.0

Cell: 5.375 5.375 5.375 Å, 90.00 90.00 90.00°
Atoms (fractional coordinates):
1 La 0.000 0.000 0.500
2 La 0.000 0.500 0.000
3 La 0.500 0.000 0.000
4 B 0.000 0.000 0.000
5 Br 0.500 0.500 0.500

7.
Here is an optimized crystal structure of MgTlIn2 from the Alexandria database. Energies are from PBE-GGA.

Results
Total magnetic moment, Bohr magnetons per cell: 0.00
Formation energy from the elements, meV/atom: 10
Total energy, eV per atom: -2.349

Cell: 6.179 6.179 6.179 Å, 143.94 129.34 63.74°
Atoms (fractional coordinates):
1 Mg 0.000 0.000 0.000
2 Tl 0.246 0.746 0.500
3 In 0.507 0.507 0.000
4 In 0.761 0.261 0.500

8.
Here is an optimized crystal structure of NaNbReSn2 from the Alexandria database. Energies are from PBE-GGA.

Results
Total magnetic moment, Bohr magnetons per cell: 0.00
Formation energy from the elements, meV/atom: 2022
Total energy, eV per atom: -4.346

Cell: 4.866 4.866 4.728 Å, 90.00 90.00 90.00°
Atoms (fractional coordinates):
1 Na 0.000 0.000 0.000
2 Nb 0.500 0.500 0.500
3 Re 0.000 0.000 0.500
4 Sn 0.000 0.500 0.000
5 Sn 0.500 0.000 0.000

9.
Here is an optimized crystal structure of K2AcGaS4 from the Alexandria database. Energies are from PBE-GGA.

Results
Total magnetic moment, Bohr magnetons per cell: 0.00
Formation energy from raw total energies, eV/atom: -1.23
Total energy, eV per atom: -4.459

Cell: 8.486 8.486 8.540 Å, 117.93 117.93 91.00°
Atoms (fractional coordinates):
1 K 0.000 0.000 0.000
2 K 0.000 0.000 0.500
3 K 0.000 0.500 0.000
4 K 0.500 0.000 0.500
5 Ac 0.000 0.500 0.500
6 Ac 0.500 0.000 0.000
7 Ga 0.500 0.500 0.000
8 Ga 0.500 0.500 0.500
9 S 0.251 0.729 0.968
10 S 0.271 0.749 0.532
11 S 0.301 0.305 0.481
12 S 0.305 0.301 0.981
13 S 0.695 0.699 0.019
14 S 0.699 0.695 0.519
15 S 0.729 0.251 0.468
16 S 0.749 0.271 0.032

10.
Here is an optimized crystal structure of Be2RuPtI from the Alexandria database. Energies are from PBE-GGA.

Results
Total magnetic moment, Bohr magnetons per cell: 1.40
Formation energy from raw total energies, eV/atom: 1.95
Total energy, eV per atom: -2.915

Cell: 4.484 4.484 4.986 Å, 90.00 90.00 90.00°
Atoms (fractional coordinates):
1 Be 0.000 0.500 0.000
2 Be 0.500 0.000 0.000
3 Ru 0.000 0.000 0.500
4 Pt 0.500 0.500 0.500
5 I 0.500 0.500 0.000

11.
Here is an optimized crystal structure of ZrSiRu2 from the Alexandria database. Energies are from PBE-GGA.

Results
Total magnetic moment, Bohr magnetons per cell: 0.00
Formation energy from raw total energies, eV/atom: -0.61
Total energy, eV per atom: -8.736

Cell: 3.114 3.110 6.243 Å, 90.00 90.09 90.00°
Atoms (fractional coordinates):
1 Zr 0.000 0.000 0.000
2 Si 0.000 0.000 0.500
3 Ru 0.499 0.500 0.721
4 Ru 0.501 0.500 0.279

12.
Here is an optimized crystal structure of FeCo3Tc from the Alexandria database. Energies are from PBE-GGA.

Results
Total magnetic moment, Bohr magnetons per cell: 9.97
Formation energy from the elements, meV/atom: 1277
Total energy, eV per atom: -6.752
ΔE to the lowest computed polymorph, kJ/mol of atoms: 0.0

Cell: 4.197 4.197 4.197 Å, 90.00 90.00 90.00°
Atoms (fractional coordinates):
1 Fe 0.000 0.000 0.000
2 Co 0.000 0.000 0.500
3 Co 0.000 0.500 0.000
4 Co 0.500 0.000 0.000
5 Tc 0.500 0.500 0.500

13.
Here is an optimized crystal structure of PrBi2Pt from the Alexandria database. Energies are from PBE-GGA.

Results
Total magnetic moment, Bohr magnetons per cell: 0.00
Formation energy from the elements, meV/atom: -85
Total energy, eV per atom: -4.731

Cell: 10.414 10.414 10.414 Å, 20.71 20.71 20.71°
Atoms (fractional coordinates):
1 Pr 0.000 0.000 0.000
2 Bi 0.108 0.108 0.108
3 Bi 0.892 0.892 0.892
4 Pt 0.500 0.500 0.500

14.
Here is an optimized crystal structure of LiCaSmOs from the Alexandria database. Energies are from PBE-GGA.

Results
Total magnetic moment, Bohr magnetons per cell: 0.00
Formation energy from the elements, meV/atom: 78
Total energy, eV per atom: -4.888

Cell: 4.984 4.984 4.984 Å, 60.00 60.00 60.00°
Atoms (fractional coordinates):
1 Li 0.000 0.000 0.000
2 Ca 0.250 0.250 0.250
3 Sm 0.750 0.750 0.750
4 Os 0.500 0.500 0.500

15.
Here is an optimized crystal structure of VGaAsBr2 from the Alexandria database. Energies are from PBE-GGA.

Results
Total magnetic moment, Bohr magnetons per cell: 1.13
Formation energy from raw total energies, eV/atom: -0.12
Total energy, eV per atom: -4.147
ΔE to the lowest computed polymorph, kJ/mol of atoms: 0.0

Cell: 5.244 5.244 4.828 Å, 90.00 90.00 90.00°
Atoms (fractional coordinates):
1 V 0.000 0.000 0.000
2 Ga 0.500 0.500 0.500
3 As 0.000 0.000 0.500
4 Br 0.000 0.500 0.000
5 Br 0.500 0.000 0.000

16.
Here is an optimized crystal structure of CeGaOs2C from the Alexandria database. Energies are from PBE-GGA.

Results
Total magnetic moment, Bohr magnetons per cell: 0.00
Formation energy from the elements, meV/atom: -255
Total energy, eV per atom: -8.383

Cell: 5.913 5.913 7.306 Å, 90.00 90.00 139.86°
Atoms (fractional coordinates):
1 Ce 0.051 0.949 0.750
2 Ce 0.949 0.051 0.250
3 Ga 0.232 0.768 0.250
4 Ga 0.768 0.232 0.750
5 Os 0.335 0.665 0.562
6 Os 0.335 0.665 0.938
7 Os 0.665 0.335 0.062
8 Os 0.665 0.335 0.438
9 C 0.500 0.500 0.000
10 C 0.500 0.500 0.500

17.
Here is an optimized crystal structure of Ga2IrAu from the Alexandria database. Energies are from PBE-GGA.

Results
Total magnetic moment, Bohr magnetons per cell: 0.00
Formation energy from the elements, meV/atom: -201
Total energy, eV per atom: -4.749

Cell: 5.401 5.401 5.401 Å, 44.41 44.41 44.41°
Atoms (fractional coordinates):
1 Ga 0.000 0.000 0.000
2 Ga 0.200 0.200 0.200
3 Ir 0.614 0.614 0.614
4 Au 0.422 0.422 0.422

18.
Here is an optimized crystal structure of BaHfRu2W from the Alexandria database. Energies are from PBE-GGA.

Results
Total magnetic moment, Bohr magnetons per cell: 0.00
Formation energy from the elements, meV/atom: 2192
Total energy, eV per atom: -6.484

Cell: 4.749 4.749 5.524 Å, 90.00 90.00 90.00°
Atoms (fractional coordinates):
1 Ba 0.000 0.000 0.000
2 Hf 0.000 0.000 0.500
3 Ru 0.000 0.500 0.500
4 Ru 0.500 0.000 0.500
5 W 0.500 0.500 0.000

19.
Here is an optimized crystal structure of AcLuZnIn from the Alexandria database. Energies are from PBE-GGA.

Results
Total magnetic moment, Bohr magnetons per cell: 0.00
Formation energy from the elements, meV/atom: -292
Total energy, eV per atom: -3.453

Cell: 5.434 5.434 5.434 Å, 60.00 60.00 60.00°
Atoms (fractional coordinates):
1 Ac 0.000 0.000 0.000
2 Lu 0.500 0.500 0.500
3 Zn 0.250 0.250 0.250
4 In 0.750 0.750 0.750

20.
Here is an optimized crystal structure of LiPm2Ge from the Alexandria database. Energies are from PBE-GGA.

Results
Total magnetic moment, Bohr magnetons per cell: 0.00
Formation energy from the elements, meV/atom: -427
Total energy, eV per atom: -4.435

Cell: 5.160 5.160 5.160 Å, 60.00 60.00 60.00°
Atoms (fractional coordinates):
1 Li 0.000 0.000 0.000
2 Pm 0.250 0.250 0.250
3 Pm 0.750 0.750 0.750
4 Ge 0.500 0.500 0.500